Entry from Alexandria: an optimized crystal structure of Cu2MoPbF (PBE+U).

Unit cell a=4.646 b=4.646 c=4.239 alpha=90.00 beta=90.00 gamma=90.00
Element x y z (fractional)
Cu (0.000, 0.500, 0.000)
Cu (0.500, 0.000, 0.000)
Mo (0.000, 0.000, 0.500)
Pb (0.500, 0.500, 0.500)
F (0.000, 0.000, 0.000)

Calculated total energy ... -3.980 eV per atom
ρ ... 8.15 g/cm3